No. 1
A plane-wave DFT calculation with PBE-GGA was carried out for Pr2Dy5Tm4 after structural relaxation.

Geometry as POSCAR:
```
Pr2Dy5Tm4
1.0
-1.294 3.217 -0.085
-0.422 0.131 11.448
9.359 1.753 -5.408
Pr Tm Dy
2 4 5
Direct
0.204 0.204 0.407
0.796 0.796 0.593
0.589 0.589 0.179
0.000 0.278 0.000
0.411 0.411 0.821
0.000 0.722 0.000
0.177 0.889 0.354
0.823 0.111 0.646
0.500 0.000 0.000
0.177 0.465 0.354
0.823 0.535 0.646
```

Output
**Crystal system**: orthorhombic


No. 2
A plane-wave DFT calculation with PBE-GGA was carried out for PrDy6Tm2 after structural relaxation.

Geometry as POSCAR:
```
PrDy6Tm2
1.0
-2.410 -1.697 5.280
-3.864 -5.279 -3.461
2.901 -6.756 -0.847
Dy Tm Pr
6 2 1
Direct
0.705 0.188 0.188
0.704 0.187 0.624
0.295 0.812 0.812
0.296 0.376 0.813
0.296 0.813 0.376
0.704 0.624 0.187
0.213 0.334 0.334
0.787 0.666 0.666
0.000 0.000 0.000
```

Output
**Crystal system**: monoclinic


No. 3
A plane-wave DFT calculation with PBE-GGA was carried out for PrDyTm after structural relaxation.

Geometry as POSCAR:
```
PrDyTm
1.0
3.441 0.000 0.000
0.000 8.210 0.304
0.000 -0.419 8.205
Pr Tm Dy
2 2 2
Direct
0.500 0.760 0.240
0.500 0.240 0.760
0.500 0.500 0.500
0.000 0.000 0.000
0.000 0.738 0.738
0.000 0.262 0.262
```

Output
**Crystal system**: orthorhombic


No. 4
A plane-wave DFT calculation with PBE-GGA was carried out for Pr8Dy6Tm after structural relaxation.

Geometry as POSCAR:
```
Pr8Dy6Tm
1.0
7.917 0.136 3.847
2.464 7.525 3.847
0.184 0.136 8.800
Pr Dy Tm
8 6 1
Direct
0.422 0.422 0.422
0.113 0.716 0.753
0.578 0.578 0.578
0.887 0.284 0.247
0.247 0.887 0.284
0.753 0.113 0.716
0.716 0.753 0.113
0.284 0.247 0.887
0.248 0.095 0.540
0.095 0.540 0.248
0.460 0.752 0.905
0.752 0.905 0.460
0.905 0.460 0.752
0.540 0.248 0.095
0.000 0.000 0.000
```

Output
**Crystal system**: trigonal


No. 5
A plane-wave DFT calculation with PBE-GGA was carried out for Pr6Dy4Tm after structural relaxation.

Geometry as POSCAR:
```
Pr6Dy4Tm
1.0
7.583 -3.127 -5.680
-5.284 8.197 2.103
-2.016 3.127 9.257
Pr Dy Tm
6 4 1
Direct
0.642 0.185 0.185
0.000 0.815 0.458
0.500 0.000 0.500
0.358 0.542 0.542
0.500 0.500 0.000
0.000 0.458 0.815
0.000 0.641 0.011
0.631 0.989 0.989
0.369 0.359 0.359
0.000 0.011 0.641
0.000 0.000 0.000
```

Output
**Crystal system**: tetragonal


No. 6
A plane-wave DFT calculation with PBE-GGA was carried out for Pr2Dy2Tm3 after structural relaxation.

Geometry as POSCAR:
```
Pr2Dy2Tm3
1.0
7.943 0.000 -2.808
-3.971 6.878 -2.808
0.000 0.000 8.424
Pr Tm Dy
4 6 4
Direct
0.000 0.000 0.815
0.185 0.685 0.685
0.500 0.815 0.500
0.315 0.500 0.000
0.803 0.250 0.553
0.697 0.750 0.947
0.750 0.553 0.303
0.053 0.303 0.250
0.447 0.197 0.750
0.250 0.947 0.197
0.000 0.000 0.418
0.500 0.418 0.500
0.582 0.082 0.082
0.918 0.500 0.000
```

Output
**Crystal system**: cubic


No. 7
A plane-wave DFT calculation with PBE-GGA was carried out for PrDy10Tm4 after structural relaxation.

Geometry as POSCAR:
```
PrDy10Tm4
1.0
1.055 -4.997 5.685
-2.819 -8.714 -2.001
8.318 -4.320 -0.204
Dy Tm Pr
10 4 1
Direct
0.750 0.500 0.500
0.646 0.304 0.899
0.950 0.899 0.696
0.848 0.696 0.101
0.354 0.696 0.101
0.152 0.304 0.899
0.250 0.500 0.500
0.050 0.101 0.304
0.545 0.101 0.304
0.455 0.899 0.696
0.600 0.201 0.600
0.199 0.400 0.201
0.400 0.799 0.400
0.801 0.600 0.799
0.000 0.000 0.000
```

Output
**Crystal system**: tetragonal


No. 8
A plane-wave DFT calculation with PBE-GGA was carried out for Pr2Dy2Tm5 after structural relaxation.

Geometry as POSCAR:
```
Pr2Dy2Tm5
1.0
-2.083 0.854 -2.643
4.510 -4.610 -5.044
-8.598 -5.247 7.358
Tm Dy Pr
5 2 2
Direct
0.000 0.000 0.000
0.096 0.461 0.191
0.309 0.150 0.619
0.904 0.539 0.809
0.691 0.850 0.381
0.454 0.262 0.907
0.546 0.738 0.093
0.182 0.221 0.363
0.818 0.779 0.637
```

Output
**Crystal system**: monoclinic


No. 9
A plane-wave DFT calculation with PBE-GGA was carried out for PrDyTm6 after structural relaxation.

Geometry as POSCAR:
```
PrDyTm6
1.0
-4.713 -4.382 1.917
5.891 0.216 3.215
-3.655 8.790 -1.281
Pr Tm Dy
1 6 1
Direct
0.500 0.500 0.500
0.668 0.160 0.241
0.840 0.332 0.759
0.332 0.840 0.759
0.160 0.668 0.241
0.302 0.302 0.753
0.698 0.698 0.247
0.000 0.000 0.000
```

Output
**Crystal system**: monoclinic


No. 10
A plane-wave DFT calculation with PBE-GGA was carried out for Pr7Dy4Tm after structural relaxation.

Geometry as POSCAR:
```
Pr7Dy4Tm
1.0
-2.933 -5.278 0.299
4.373 -5.501 6.915
-3.850 -0.886 7.733
Dy Pr Tm
4 7 1
Direct
0.571 0.303 0.555
0.328 0.387 0.957
0.672 0.613 0.043
0.429 0.697 0.445
0.916 0.444 0.724
0.210 0.768 0.812
0.500 0.000 0.000
0.208 0.119 0.464
0.792 0.881 0.536
0.790 0.232 0.188
0.084 0.556 0.276
0.000 0.000 0.000
```

Output
**Crystal system**: monoclinic


No. 11
A plane-wave DFT calculation with PBE-GGA was carried out for PrDy2Tm after structural relaxation.

Geometry as POSCAR:
```
PrDy2Tm
1.0
5.066 0.000 0.000
0.000 5.042 0.000
0.000 0.000 5.042
Dy Tm Pr
2 1 1
Direct
0.000 0.000 0.500
0.000 0.500 0.000
0.500 0.500 0.500
0.500 0.000 0.000
```

Output
**Crystal system**: tetragonal


No. 12
A plane-wave DFT calculation with PBE-GGA was carried out for PrDy8Tm5 after structural relaxation.

Geometry as POSCAR:
```
PrDy8Tm5
1.0
-4.230 7.099 1.497
-4.348 -6.769 2.410
7.173 0.772 4.299
Dy Tm Pr
8 5 1
Direct
0.919 0.082 0.659
0.341 0.260 0.424
0.163 0.740 0.081
0.576 0.918 0.837
0.532 0.606 0.280
0.674 0.394 0.927
0.073 0.747 0.468
0.720 0.253 0.326
0.042 0.322 0.136
0.280 0.094 0.958
0.814 0.678 0.720
0.500 0.000 0.500
0.864 0.906 0.186
0.250 0.500 0.750
```

Output
**Crystal system**: tetragonal


No. 13
A plane-wave DFT calculation with PBE-GGA was carried out for Pr8DyTm2 after structural relaxation.

Geometry as POSCAR:
```
Pr8DyTm2
1.0
5.794 1.680 0.000
2.706 8.805 0.000
1.353 4.402 8.322
Pr Dy Tm
8 1 2
Direct
0.500 0.794 0.412
0.821 0.335 0.763
0.179 0.665 0.237
0.500 0.206 0.588
0.704 0.579 0.000
0.179 0.903 0.763
0.296 0.421 0.000
0.821 0.097 0.237
0.500 0.000 0.000
0.000 0.690 0.620
0.000 0.310 0.380
```

Output
**Crystal system**: monoclinic


No. 14
A plane-wave DFT calculation with PBE-GGA was carried out for Pr2Dy4Tm3 after structural relaxation.

Geometry as POSCAR:
```
Pr2Dy4Tm3
1.0
-0.676 -4.642 -3.975
7.787 -1.266 -8.007
7.002 -8.751 0.867
Dy Tm Pr
8 6 4
Direct
0.920 0.187 0.907
0.580 0.093 0.813
0.085 0.145 0.422
0.420 0.907 0.187
0.415 0.578 0.855
0.915 0.855 0.578
0.080 0.813 0.093
0.585 0.422 0.145
0.250 0.599 0.401
0.735 0.737 0.934
0.235 0.934 0.737
0.765 0.066 0.263
0.265 0.263 0.066
0.750 0.401 0.599
0.578 0.767 0.476
0.078 0.476 0.767
0.922 0.524 0.233
0.422 0.233 0.524
```

Output
**Crystal system**: monoclinic


No. 15
A plane-wave DFT calculation with PBE-GGA was carried out for Pr4DyTm7 after structural relaxation.

Geometry as POSCAR:
```
Pr4DyTm7
1.0
-3.910 0.990 5.872
-7.712 -2.058 -0.439
-4.569 -6.387 8.798
Tm Pr Dy
7 4 1
Direct
0.249 0.499 0.001
0.751 0.501 0.999
0.247 0.835 0.669
0.003 0.670 0.330
0.500 0.000 0.000
0.997 0.330 0.670
0.753 0.165 0.331
0.504 0.664 0.331
0.250 0.170 0.332
0.496 0.336 0.669
0.750 0.830 0.668
0.000 0.000 0.000
```

Output
**Crystal system**: triclinic


No. 16
A plane-wave DFT calculation with PBE-GGA was carried out for PrDy2Tm7 after structural relaxation.

Geometry as POSCAR:
```
PrDy2Tm7
1.0
5.078 -1.614 0.757
-2.776 7.477 -3.750
1.471 -0.010 9.243
Pr Tm Dy
1 7 2
Direct
0.000 0.000 0.000
0.500 0.500 0.000
0.000 0.799 0.598
0.752 0.362 0.220
0.247 0.858 0.220
0.248 0.638 0.780
0.753 0.142 0.780
0.000 0.201 0.402
0.500 0.699 0.399
0.500 0.301 0.601
```

Output
**Crystal system**: monoclinic


No. 17
A plane-wave DFT calculation with PBE-GGA was carried out for Pr7Dy12Tm after structural relaxation.

Geometry as POSCAR:
```
Pr7Dy12Tm
1.0
-7.629 3.831 2.227
1.468 -0.694 8.672
3.529 8.058 0.677
Dy Tm Pr
12 1 7
Direct
0.615 0.136 0.497
0.856 0.249 0.728
0.728 0.856 0.249
0.751 0.272 0.144
0.136 0.497 0.615
0.385 0.864 0.503
0.144 0.751 0.272
0.503 0.385 0.864
0.497 0.615 0.136
0.272 0.144 0.751
0.864 0.503 0.385
0.249 0.728 0.856
0.000 0.000 0.000
0.083 0.156 0.399
0.156 0.399 0.083
0.844 0.601 0.917
0.917 0.844 0.601
0.399 0.083 0.156
0.500 0.500 0.500
0.601 0.917 0.844
```

Output
**Crystal system**: trigonal


No. 18
A plane-wave DFT calculation with PBE-GGA was carried out for Pr2Dy3Tm8 after structural relaxation.

Geometry as POSCAR:
```
Pr2Dy3Tm8
1.0
5.418 0.000 0.753
0.000 7.570 -0.002
-1.432 -3.788 10.288
Dy Tm Pr
3 8 2
Direct
0.500 0.000 0.000
0.000 0.288 0.000
0.000 0.712 0.000
0.500 0.606 0.786
0.500 0.394 0.214
0.000 0.340 0.681
0.000 0.660 0.319
0.500 0.179 0.786
0.000 0.873 0.747
0.000 0.127 0.253
0.500 0.821 0.214
0.500 0.760 0.520
0.500 0.240 0.480
```

Output
**Crystal system**: orthorhombic


No. 19
A plane-wave DFT calculation with PBE-GGA was carried out for Pr3DyTm2 after structural relaxation.

Geometry as POSCAR:
```
Pr3DyTm2
1.0
9.082 0.088 0.063
0.931 6.493 -1.443
0.931 0.757 6.608
Pr Dy Tm
6 2 4
Direct
0.250 0.438 0.562
0.983 0.853 0.686
0.483 0.686 0.853
0.017 0.147 0.314
0.750 0.562 0.438
0.517 0.314 0.147
0.250 0.106 0.894
0.750 0.894 0.106
0.878 0.376 0.883
0.378 0.883 0.376
0.122 0.624 0.117
0.622 0.117 0.624
```

Output
**Crystal system**: monoclinic


No. 20
A plane-wave DFT calculation with PBE-GGA was carried out for PrDy4Tm after structural relaxation.

Geometry as POSCAR:
```
PrDy4Tm
1.0
-2.741 0.003 2.267
-0.367 -8.866 -3.194
5.486 8.171 6.565
Pr Tm Dy
1 1 4
Direct
0.500 0.000 0.500
0.000 0.000 0.000
0.664 0.328 0.998
0.831 0.662 0.498
0.169 0.338 0.502
0.336 0.672 0.002
```

Output
**Crystal system**: triclinic


No. 21
A plane-wave DFT calculation with PBE-GGA was carried out for Pr7DyTm3 after structural relaxation.

Geometry as POSCAR:
```
Pr7DyTm3
1.0
-2.041 4.609 -3.131
-5.203 -1.599 6.672
5.435 2.722 6.098
Tm Dy Pr
3 1 7
Direct
0.000 0.205 0.795
0.500 0.000 0.000
0.000 0.795 0.205
0.500 0.500 0.500
0.691 0.979 0.403
0.309 0.597 0.021
0.691 0.403 0.979
0.208 0.207 0.207
0.309 0.021 0.597
0.000 0.500 0.500
0.792 0.793 0.793
```

Output
**Crystal system**: monoclinic


no.,DFT total energy (eV/atom),ΔE_f (meV/atom)
1,-4.3850,202
2,-4.3572,236
3,-3.9704,647
4,-4.5656,122
5,-4.4067,280
6,-4.3788,218
7,-3.8499,729
8,-4.3439,225
9,-4.2933,233
10,-4.4789,216
11,-4.5894,24
12,-4.3197,248
13,-4.5715,136
14,-4.5054,93
15,-4.5582,27
16,-4.4807,48
17,-4.4305,227
18,-4.2992,250
19,-4.5845,63
20,-4.5886,21
21,-4.4587,221